The following is a PBE-GGA calculation of a relaxed ScNiGeW crystal, from OQMD via LeMat-Bulk.

Structure (POSCAR):
```
ScNiGeW
1.0
3.315 -0.079 2.996
-0.324 2.400 3.756
-0.583 -2.058 3.924
Ni Sc Ge W
1 1 1 1
direct
0.750 0.750 0.750
0.250 0.250 0.250
0.000 0.000 0.000
0.500 0.500 0.500
```

Calculated values
symmetry	No. 216
VASP energy	-6.97	eV per atom